First-principles (GGA-PBE) data for crystalline MgBe3Tc at its relaxed geometry, as listed in Alexandria via LeMat-Bulk.

The value obtained for the density of states at the Fermi level is 2.47 states/eV/cell. As for the formation energy from the elements: 8.09 eV/f.u. For the energy above the most stable polymorph in this dataset, the calculation gives 0.955 eV/atom.

The structure belongs to space group Pm-3m (No. 221); the cell edges are 4.1088, 4.1088 and 4.1088 Å and the angles 90.00°, 90.00° and 90.00°. The distinct sites, in fractional coordinates, are Mg at (0.0000, 0.0000, 0.0000), Be at (0.0000, 0.0000, 0.5000) and Tc at (0.5000, 0.5000, 0.5000).

First-principles (GGA-PBE) data for crystalline MgBeTc2 at its relaxed geometry, as listed in Alexandria via LeMat-Bulk.

The value obtained for the density of states at the Fermi level is 6.09 states/eV/cell. As for the formation energy from the elements: 1.10 eV/f.u. For the energy above the most stable polymorph in this dataset, the calculation gives 0.294 eV/atom.

The structure belongs to space group I4/mmm (No. 139); the cell edges are 3.6563, 3.6563 and 8.3841 Å and the angles 90.00°, 90.00° and 90.00°. The distinct sites, in fractional coordinates, are Mg at (0.0000, 0.0000, 0.0000), Be at (0.0000, 0.0000, 0.5000) and Tc at (0.0000, 0.5000, 0.2500).

First-principles (GGA-PBE) data for crystalline MgBeTc at its relaxed geometry, as listed in Alexandria via LeMat-Bulk.

The value obtained for the density of states at the Fermi level is 2.13 states/eV/cell. As for the formation energy from the elements: 0.86 eV/f.u. For the energy above the most stable polymorph in this dataset, the calculation gives 0.108 eV/atom.

The structure belongs to space group P3m1 (No. 156); the cell edges are 4.2598, 4.2598 and 2.6262 Å and the angles 90.00°, 90.00° and 120.00°. The distinct sites, in fractional coordinates, are Mg at (0.0000, 0.0000, 0.0000), Be at (0.6667, 0.3333, 0.6914) and Tc at (0.3333, 0.6667, 0.4428).

First-principles (GGA-PBE) data for crystalline MgBeTc2 at its relaxed geometry, as listed in Alexandria via LeMat-Bulk.

The value obtained for the density of states at the Fermi level is 2.38 states/eV/cell. As for the formation energy from the elements: 0.79 eV/f.u. For the energy above the most stable polymorph in this dataset, the calculation gives 0.218 eV/atom.

The structure belongs to space group Pm (No. 6); the cell edges are 2.7035, 4.2590 and 5.0074 Å and the angles 90.00°, 99.23° and 90.00°. The distinct sites, in fractional coordinates, are Mg at (0.0000, 0.0000, 0.0000), Be at (0.2423, 0.5000, 0.7518), Tc at (0.4619, 0.0000, 0.5108) and Tc at (0.6652, 0.5000, 0.2895).

First-principles (GGA-PBE) data for crystalline Mg2Be2Tc at its relaxed geometry, as listed in Alexandria via LeMat-Bulk.

The value obtained for the density of states at the Fermi level is 4.20 states/eV/cell. As for the formation energy from the elements: 1.62 eV/f.u. For the energy above the most stable polymorph in this dataset, the calculation gives 0.000 eV/atom.

The structure belongs to space group P4/mbm (No. 127); the cell edges are 6.9007, 6.9007 and 2.8507 Å and the angles 90.00°, 90.00° and 90.00°. The distinct sites, in fractional coordinates, are Mg at (0.1781, 0.3219, 0.0000), Be at (0.1179, 0.6179, 0.5000) and Tc at (0.0000, 0.0000, 0.5000).

First-principles (GGA-PBE) data for crystalline MgBeTc at its relaxed geometry, as listed in Alexandria via LeMat-Bulk.

The value obtained for the density of states at the Fermi level is 8.68 states/eV/cell. As for the formation energy from the elements: 1.53 eV/f.u. For the energy above the most stable polymorph in this dataset, the calculation gives 0.332 eV/atom.

The structure belongs to space group F-43m (No. 216); the cell edges are 5.6189, 5.6189 and 5.6189 Å and the angles 90.00°, 90.00° and 90.00°. The distinct sites, in fractional coordinates, are Mg at (0.0000, 0.0000, 0.0000), Be at (0.2500, 0.2500, 0.2500) and Tc at (0.0000, 0.0000, 0.5000).

First-principles (GGA-PBE) data for crystalline MgBeTc2 at its relaxed geometry, as listed in Alexandria via LeMat-Bulk.

The value obtained for the density of states at the Fermi level is 6.33 states/eV/cell. As for the formation energy from the elements: 0.59 eV/f.u. For the energy above the most stable polymorph in this dataset, the calculation gives 0.166 eV/atom.

The structure belongs to space group Cmmm (No. 65); the cell edges are 3.2436, 4.1796 and 8.1164 Å and the angles 90.00°, 90.00° and 90.00°. The distinct sites, in fractional coordinates, are Mg at (0.0000, 0.0000, 0.0000), Be at (0.0000, 0.0000, 0.5000) and Tc at (0.0000, 0.5000, 0.2831).

First-principles (GGA-PBE) data for crystalline MgBe2Tc at its relaxed geometry, as listed in Alexandria via LeMat-Bulk.

The value obtained for the density of states at the Fermi level is 4.44 states/eV/cell. As for the formation energy from the elements: 0.52 eV/f.u. For the energy above the most stable polymorph in this dataset, the calculation gives 0.094 eV/atom.

The structure belongs to space group Amm2 (No. 38); the cell edges are 3.8702, 2.7328 and 9.3689 Å and the angles 90.00°, 90.00° and 90.00°. The distinct sites, in fractional coordinates, are Mg at (0.0000, 0.0000, 0.0000), Be at (0.0000, 0.0000, 0.2583), Be at (0.5000, 0.0000, 0.3922) and Tc at (0.5000, 0.0000, 0.6729).